[1]
Crystalline MnPtIN2 at its relaxed geometry, computed with PBE-GGA.

Properties
Polymorph energy (0 for the lowest one) = 1.38 eV/f.u.
DOS at the Fermi energy = 4.374 states/eV/cell
Energy = -5.474 eV per atom
Formation energy from raw total energies = 1208 meV/atom

a = 3.8250 Å, b = 3.8250 Å, c = 7.7908 Å
α = 90.00°, β = 90.00°, γ = 90.00°
Positions (direct):
Mn  0.0000  0.0000  0.0000
Pt  0.5000  0.5000  0.5000
I  0.5000  0.5000  0.0000
N  0.0000  0.5000  0.5000
N  0.5000  0.0000  0.5000

[2]
Crystalline Zn2Cd2Ag at its relaxed geometry, computed with PBE-GGA.

Properties
Polymorph energy (0 for the lowest one) = 0.34 eV/f.u.
DOS at the Fermi energy = 1.493 states/eV/cell
Energy = -1.351 eV per atom
E_form = 0.09 eV/atom

a = 7.9044 Å, b = 7.9044 Å, c = 7.9044 Å
α = 153.52°, β = 153.52°, γ = 37.80°
Positions (direct):
Zn  0.2500  0.7500  0.5000
Zn  0.7500  0.2500  0.5000
Cd  0.1007  0.1007  0.0000
Cd  0.8993  0.8993  0.0000
Ag  0.5000  0.5000  0.0000

[3]
Crystalline RbTi2ZnCl at its relaxed geometry, computed with PBE-GGA.

Properties
DOS at the Fermi energy = 9.314 states/eV/cell
Energy = -2.428 eV per atom
Formation energy from raw total energies = 1548 meV/atom

a = 5.8081 Å, b = 5.8081 Å, c = 5.6360 Å
α = 90.00°, β = 90.00°, γ = 90.00°
Positions (direct):
Rb  0.0000  0.0000  0.0000
Ti  0.0000  0.5000  0.0000
Ti  0.5000  0.0000  0.0000
Zn  0.5000  0.5000  0.5000
Cl  0.0000  0.0000  0.5000

[4]
Crystalline LaNbFeP2 at its relaxed geometry, computed with PBE-GGA.

Properties
DOS at the Fermi energy = 3.695 states/eV/cell
Energy = -7.734 eV per atom
E_form = -0.88 eV/atom

a = 6.7446 Å, b = 6.7446 Å, c = 6.7446 Å
α = 146.53°, β = 146.53°, γ = 48.06°
Positions (direct):
La  0.0000  0.0000  0.0000
Nb  0.2500  0.7500  0.5000
Fe  0.7500  0.2500  0.5000
P  0.3713  0.3713  0.0000
P  0.6287  0.6287  0.0000